[1]
Here is a relaxed structure of CaLaIn2 from Alexandria via LeMat-Bulk. Energies are from GGA-PBE.

Cell and atoms, written as POSCAR:
```
CaLaIn2
1.0
-0.007 -9.304 5.296
3.557 -9.195 4.175
2.524 -7.417 7.297
La In Ca
1 2 1
direct
0.250 0.250 0.250
0.498 0.498 0.498
0.002 0.002 0.002
0.750 0.750 0.750
```

Results
For the formation energy, the calculation gives -278 meV per atom. The total energy comes out at -3.3797 eV per atom.



[2]
Here is a relaxed structure of RbMg2In2 from Alexandria via LeMat-Bulk. Energies are from GGA-PBE.

Cell and atoms, written as POSCAR:
```
RbMg2In2
1.0
-4.464 -1.870 -2.722
3.284 -2.029 -3.991
0.397 -5.473 3.109
Rb Mg In
1 2 2
direct
0.500 0.500 0.500
0.500 0.000 0.000
0.000 0.500 0.000
0.000 0.000 0.000
0.000 0.000 0.500
```

Results
The calculation puts the energy above the most stable polymorph in this dataset at 270 meV/atom. For the formation energy, the calculation gives 224 meV per atom. The total energy comes out at -1.7024 eV per atom.



no.,magnetic moment (μB/cell)
1,0.280
2,0.000